[1]
First-principles (PBE) data for crystalline TbTmCu at its relaxed geometry, as listed in the Alexandria database.

Unit cell a=3.774 b=4.754 c=4.754 alpha=120.00 beta=90.00 gamma=90.00
Positions (direct):
Tm (0.084, 0.000, 0.000)
Tb (0.605, 0.667, 0.333)
Cu (0.311, 0.333, 0.667)

Calculated values
Distance to the lowest polymorph of the same formula: 0.212 eV per atom
Energy of formation: 0.041 eV/atom
Space group: No. 156

=====

[2]
First-principles (PBE) data for crystalline AcPm4Cd at its relaxed geometry, as listed in the Alexandria database.

Unit cell a=3.764 b=3.764 c=14.417 alpha=90.00 beta=90.00 gamma=90.00
Positions (direct):
Ac (0.000, 0.000, 0.000)
Pm (0.500, 0.500, 0.189)
Pm (0.000, 0.000, 0.639)
Pm (0.000, 0.000, 0.361)
Pm (0.500, 0.500, 0.811)
Cd (0.500, 0.500, 0.500)

Calculated values
Distance to the lowest polymorph of the same formula: 0.000 eV per atom
Energy of formation: -0.085 eV/atom
Space group: No. 123

=====

[3]
First-principles (PBE) data for crystalline PmPrTlPt at its relaxed geometry, as listed in the Alexandria database.

Unit cell a=5.322 b=5.322 c=5.322 alpha=60.00 beta=60.00 gamma=60.00
Positions (direct):
Pr (0.500, 0.500, 0.500)
Tl (0.250, 0.250, 0.250)
Pt (0.750, 0.750, 0.750)
Pm (0.000, 0.000, 0.000)

Calculated values
Energy of formation: -0.596 eV/atom
Space group: No. 216

=====

[4]
First-principles (PBE) data for crystalline Y4Ge8Ru at its relaxed geometry, as listed in the Alexandria database.

Unit cell a=4.018 b=4.173 c=16.236 alpha=90.00 beta=90.00 gamma=90.00
Positions (direct):
Y (0.000, 0.000, 0.097)
Y (0.000, 0.500, 0.609)
Y (0.500, 0.500, 0.400)
Y (0.500, 0.000, 0.895)
Ge (0.000, 0.000, 0.464)
Ge (0.000, 0.500, 0.942)
Ge (0.500, 0.500, 0.048)
Ge (0.500, 0.000, 0.566)
Ge (0.000, 0.500, 0.233)
Ge (0.000, 0.000, 0.750)
Ge (0.500, 0.000, 0.230)
Ge (0.500, 0.500, 0.755)
Ru (0.000, 0.000, 0.314)

Calculated values
Energy of formation: -0.601 eV/atom
Space group: No. 25

=====

[5]
First-principles (PBE) data for crystalline TiHRh2 at its relaxed geometry, as listed in the Alexandria database.

Unit cell a=4.128 b=4.128 c=4.128 alpha=60.00 beta=60.00 gamma=60.00
Positions (direct):
H (0.000, 0.000, 0.000)
Rh (0.250, 0.250, 0.250)
Rh (0.750, 0.750, 0.750)
Ti (0.500, 0.500, 0.500)

Calculated values
Distance to the lowest polymorph of the same formula: 0.264 eV per atom
Space group: No. 225

=====

[6]
First-principles (PBE) data for crystalline TaMo at its relaxed geometry, as listed in the Alexandria database.

Unit cell a=7.232 b=7.232 c=7.232 alpha=90.00 beta=90.00 gamma=90.00
Positions (direct):
Ta (0.250, 0.500, 0.000)
Ta (0.750, 0.500, 0.000)
Ta (0.500, 0.000, 0.250)
Ta (0.500, 0.000, 0.750)
Ta (0.000, 0.250, 0.500)
Ta (0.000, 0.750, 0.500)
Mo (0.250, 0.000, 0.500)
Mo (0.750, 0.000, 0.500)
Mo (0.000, 0.500, 0.250)
Mo (0.000, 0.500, 0.750)
Mo (0.500, 0.250, 0.000)
Mo (0.500, 0.750, 0.000)

Calculated values
Energy of formation: 2.631 eV/atom
Space group: No. 223

=====

[7]
First-principles (PBE) data for crystalline CePrZnCu at its relaxed geometry, as listed in the Alexandria database.

Unit cell a=5.140 b=5.140 c=5.140 alpha=60.00 beta=60.00 gamma=60.00
Positions (direct):
Pr (0.750, 0.750, 0.750)
Zn (0.000, 0.000, 0.000)
Cu (0.500, 0.500, 0.500)
Ce (0.250, 0.250, 0.250)

Calculated values
Energy of formation: -0.119 eV/atom
Space group: No. 216

=====

[8]
First-principles (PBE) data for crystalline U2MnCo at its relaxed geometry, as listed in the Alexandria database.

Unit cell a=3.587 b=3.587 c=6.666 alpha=74.39 beta=74.39 gamma=60.00
Positions (direct):
Co (0.500, 0.500, 0.500)
Mn (0.000, 0.000, 0.000)
U (0.748, 0.748, 0.757)
U (0.252, 0.252, 0.243)

Calculated values
Energy of formation: 0.191 eV/atom
Space group: No. 166

=====

Question: What is the formula in the eighth record?
Answer: U2MnCo